{
  "formula": "Zn2CdGa2",
  "functional": "meta-GGA SCAN",
  "state": "PBEsol geometry",
  "lattice": [[7.938, 0.000, 0.000], [0.000, 7.938, 0.000], [0.000, 0.000, 2.779]],
  "species": ["Zn", "Zn", "Zn", "Zn", "Cd", "Cd", "Ga", "Ga", "Ga", "Ga"],
  "fractional_positions": [[0.169, 0.331, 0.000], [0.331, 0.831, 0.000], [0.669, 0.169, 0.000], [0.831, 0.669, 0.000], [0.000, 0.000, 0.500], [0.500, 0.500, 0.500], [0.129, 0.629, 0.500], [0.371, 0.129, 0.500], [0.629, 0.871, 0.500], [0.871, 0.371, 0.500]],
  "n_ef_per_ev_atom": 0.359,
  "formation_enthalpy_0k_ev_per_fu": 0.63,
  "space_group": "P4/mbm, No. 127",
  "polymorph_energy_mev_per_atom": 51
}

=====

{
  "formula": "Zn2CdGa2",
  "functional": "meta-GGA SCAN",
  "state": "PBEsol geometry",
  "lattice": [[-1.953, 1.953, 5.808], [1.953, -1.953, 5.808], [1.953, 1.953, -5.808]],
  "species": ["Zn", "Zn", "Cd", "Ga", "Ga"],
  "fractional_positions": [[0.250, 0.750, 0.500], [0.750, 0.250, 0.500], [0.000, 0.000, 0.000], [0.394, 0.394, 0.000], [0.606, 0.606, 0.000]],
  "n_ef_per_ev_atom": 0.323,
  "formation_enthalpy_0k_ev_per_fu": 0.38,
  "space_group": "I4/mmm, No. 139",
  "polymorph_energy_mev_per_atom": 0
}

=====

{
  "formula": "ZrCdGa3",
  "functional": "meta-GGA SCAN",
  "state": "PBEsol geometry",
  "lattice": [[4.867, 0.000, 0.000], [0.000, 4.867, 0.000], [0.000, 0.000, 4.867]],
  "species": ["Zr", "Cd", "Ga", "Ga", "Ga"],
  "fractional_positions": [[0.000, 0.000, 0.000], [0.500, 0.500, 0.500], [0.000, 0.500, 0.500], [0.500, 0.000, 0.500], [0.500, 0.500, 0.000]],
  "n_ef_per_ev_atom": 0.674,
  "formation_enthalpy_0k_ev_per_fu": 3.79,
  "space_group": "Pm-3m, No. 221"
}

=====

{
  "formula": "Gd2CdHg",
  "functional": "meta-GGA SCAN",
  "state": "PBEsol geometry",
  "lattice": [[0.000, 3.694, 3.694], [3.694, 0.000, 3.694], [3.694, 3.694, 0.000]],
  "species": ["Gd", "Gd", "Cd", "Hg"],
  "fractional_positions": [[0.250, 0.250, 0.250], [0.750, 0.750, 0.750], [0.000, 0.000, 0.000], [0.500, 0.500, 0.500]],
  "n_ef_per_ev_atom": 0.724,
  "formation_enthalpy_0k_ev_per_fu": -2.14,
  "space_group": "Fm-3m, No. 225"
}

=====

{
  "formula": "Gd2CdIn",
  "functional": "meta-GGA SCAN",
  "state": "PBEsol geometry",
  "lattice": [[0.000, 3.719, 3.719], [3.719, 0.000, 3.719], [3.719, 3.719, 0.000]],
  "species": ["Gd", "Gd", "Cd", "In"],
  "fractional_positions": [[0.250, 0.250, 0.250], [0.750, 0.750, 0.750], [0.000, 0.000, 0.000], [0.500, 0.500, 0.500]],
  "n_ef_per_ev_atom": 0.311,
  "formation_enthalpy_0k_ev_per_fu": -2.14,
  "space_group": "Fm-3m, No. 225"
}

=====

{
  "formula": "GdLuCd2",
  "functional": "meta-GGA SCAN",
  "state": "PBEsol geometry",
  "lattice": [[0.000, 3.657, 3.657], [3.657, 0.000, 3.657], [3.657, 3.657, 0.000]],
  "species": ["Gd", "Lu", "Cd", "Cd"],
  "fractional_positions": [[0.000, 0.000, 0.000], [0.500, 0.500, 0.500], [0.250, 0.250, 0.250], [0.750, 0.750, 0.750]],
  "n_ef_per_ev_atom": 2.935,
  "formation_enthalpy_0k_ev_per_fu": 6.29,
  "space_group": "Fm-3m, No. 225"
}

=====

{
  "formula": "GdTiCdSbO7",
  "functional": "meta-GGA SCAN",
  "state": "PBEsol geometry",
  "lattice": [[-3.574, 3.694, 5.092], [3.574, -3.694, 5.092], [3.574, 3.694, -5.092]],
  "species": ["Gd", "Gd", "Ti", "Ti", "Cd", "Cd", "Sb", "Sb", "O", "O", "O", "O", "O", "O", "O", "O", "O", "O", "O", "O", "O", "O"],
  "fractional_positions": [[0.000, 0.000, 0.000], [0.500, 0.000, 0.500], [0.500, 0.000, 0.000], [0.500, 0.500, 0.500], [0.000, 0.000, 0.500], [0.000, 0.500, 0.000], [0.000, 0.500, 0.500], [0.500, 0.500, 0.000], [0.125, 0.875, 0.250], [0.170, 0.420, 0.750], [0.179, 0.417, 0.351], [0.179, 0.828, 0.762], [0.427, 0.177, 0.250], [0.435, 0.172, 0.851], [0.435, 0.583, 0.262], [0.565, 0.417, 0.738], [0.565, 0.828, 0.149], [0.573, 0.823, 0.750], [0.821, 0.172, 0.238], [0.821, 0.583, 0.649], [0.830, 0.580, 0.250], [0.875, 0.125, 0.750]],
  "n_ef_per_ev_atom": 0.000,
  "e_form_raw_ev_per_atom": -2.588,
  "space_group": "Imma, No. 74"
}

=====

{
  "formula": "GdCdRh2",
  "functional": "meta-GGA SCAN",
  "state": "PBEsol geometry",
  "lattice": [[0.000, 3.273, 3.273], [3.273, 0.000, 3.273], [3.273, 3.273, 0.000]],
  "species": ["Gd", "Cd", "Rh", "Rh"],
  "fractional_positions": [[0.000, 0.000, 0.000], [0.500, 0.500, 0.500], [0.250, 0.250, 0.250], [0.750, 0.750, 0.750]],
  "n_ef_per_ev_atom": 0.561,
  "formation_enthalpy_0k_ev_per_fu": -2.15,
  "space_group": "Fm-3m, No. 225"
}

=====

{
  "formula": "CdGeH3",
  "functional": "meta-GGA SCAN",
  "state": "PBEsol geometry",
  "lattice": [[3.799, 0.000, 0.000], [0.000, 3.799, 0.000], [0.000, 0.000, 3.799]],
  "species": ["Cd", "Ge", "H", "H", "H"],
  "fractional_positions": [[0.000, 0.000, 0.000], [0.500, 0.500, 0.500], [0.000, 0.500, 0.500], [0.500, 0.000, 0.500], [0.500, 0.500, 0.000]],
  "total_energy_ev_per_atom": -11.4351,
  "n_ef_per_ev_atom": 0.108,
  "space_group": "Pm-3m, No. 221"
}

=====

{
  "formula": "CdHgGe3",
  "functional": "meta-GGA SCAN",
  "state": "PBEsol geometry",
  "lattice": [[5.137, 0.000, 0.000], [0.000, 5.137, 0.000], [0.000, 0.000, 5.137]],
  "species": ["Cd", "Hg", "Ge", "Ge", "Ge"],
  "fractional_positions": [[0.000, 0.000, 0.000], [0.500, 0.500, 0.500], [0.000, 0.500, 0.500], [0.500, 0.000, 0.500], [0.500, 0.500, 0.000]],
  "n_ef_per_ev_atom": 0.356,
  "formation_enthalpy_0k_ev_per_fu": 4.47,
  "space_group": "Pm-3m, No. 221"
}

=====

{
  "formula": "CdGe2I",
  "functional": "meta-GGA SCAN",
  "state": "PBEsol geometry",
  "lattice": [[0.000, 3.575, 3.575], [3.575, 0.000, 3.575], [3.575, 3.575, 0.000]],
  "species": ["Cd", "Ge", "Ge", "I"],
  "fractional_positions": [[0.000, 0.000, 0.000], [0.250, 0.250, 0.250], [0.750, 0.750, 0.750], [0.500, 0.500, 0.500]],
  "n_ef_per_ev_atom": 0.673,
  "e_form_raw_ev_per_atom": 0.633,
  "space_group": "Fm-3m, No. 225"
}

=====

{
  "formula": "Cd3GeI",
  "functional": "meta-GGA SCAN",
  "state": "PBEsol geometry",
  "lattice": [[5.637, 0.000, 0.000], [0.000, 5.637, 0.000], [0.000, 0.000, 5.637]],
  "species": ["Cd", "Cd", "Cd", "Ge", "I"],
  "fractional_positions": [[0.000, 0.000, 0.500], [0.000, 0.500, 0.000], [0.500, 0.000, 0.000], [0.500, 0.500, 0.500], [0.000, 0.000, 0.000]],
  "n_ef_per_ev_atom": 0.672,
  "e_form_raw_ev_per_atom": 1.059,
  "space_group": "Pm-3m, No. 221"
}

=====

{
  "formula": "Li2CdInGe",
  "functional": "meta-GGA SCAN",
  "state": "PBEsol geometry",
  "lattice": [[4.858, 0.000, 0.000], [0.000, 4.858, 0.000], [0.000, 0.000, 5.256]],
  "species": ["Li", "Li", "Cd", "In", "Ge"],
  "fractional_positions": [[0.000, 0.500, 0.000], [0.500, 0.000, 0.000], [0.000, 0.000, 0.500], [0.500, 0.500, 0.500], [0.500, 0.500, 0.000]],
  "n_ef_per_ev_atom": 0.468,
  "formation_enthalpy_0k_ev_per_fu": 0.31,
  "space_group": "P4/mmm, No. 123"
}

=====

{
  "formula": "Rb2CdInGe",
  "functional": "meta-GGA SCAN",
  "state": "PBEsol geometry",
  "lattice": [[6.899, 0.000, 0.000], [0.000, 6.899, 0.000], [0.000, 0.000, 5.065]],
  "species": ["Rb", "Rb", "Cd", "In", "Ge"],
  "fractional_positions": [[0.000, 0.500, 0.000], [0.500, 0.000, 0.000], [0.000, 0.000, 0.500], [0.500, 0.500, 0.000], [0.500, 0.500, 0.500]],
  "n_ef_per_ev_atom": 0.374,
  "formation_enthalpy_0k_ev_per_fu": 0.89,
  "space_group": "P4/mmm, No. 123"
}

=====

{
  "formula": "CdInTc2Ge",
  "functional": "meta-GGA SCAN",
  "state": "PBEsol geometry",
  "lattice": [[4.615, 0.000, 0.000], [0.000, 4.615, 0.000], [0.000, 0.000, 4.722]],
  "species": ["Cd", "In", "Tc", "Tc", "Ge"],
  "fractional_positions": [[0.000, 0.000, 0.000], [0.500, 0.500, 0.000], [0.000, 0.500, 0.500], [0.500, 0.000, 0.500], [0.000, 0.000, 0.500]],
  "n_ef_per_ev_atom": 0.397,
  "formation_enthalpy_0k_ev_per_fu": 4.76,
  "space_group": "P4/mmm, No. 123"
}

=====

{
  "formula": "CdGe3Ir",
  "functional": "meta-GGA SCAN",
  "state": "PBEsol geometry",
  "lattice": [[4.859, 0.000, 0.000], [0.000, 4.859, 0.000], [0.000, 0.000, 4.859]],
  "species": ["Cd", "Ge", "Ge", "Ge", "Ir"],
  "fractional_positions": [[0.000, 0.000, 0.000], [0.000, 0.000, 0.500], [0.000, 0.500, 0.000], [0.500, 0.000, 0.000], [0.500, 0.500, 0.500]],
  "n_ef_per_ev_atom": 0.798,
  "formation_enthalpy_0k_ev_per_fu": 8.30,
  "space_group": "Pm-3m, No. 221"
}

=====

{
  "formula": "MnCdGeIr2",
  "functional": "meta-GGA SCAN",
  "state": "PBEsol geometry",
  "lattice": [[4.527, 0.000, 0.000], [0.000, 4.527, 0.000], [0.000, 0.000, 4.479]],
  "species": ["Mn", "Cd", "Ge", "Ir", "Ir"],
  "fractional_positions": [[0.000, 0.000, 0.000], [0.500, 0.500, 0.000], [0.000, 0.000, 0.500], [0.000, 0.500, 0.500], [0.500, 0.000, 0.500]],
  "n_ef_per_ev_atom": 0.451,
  "formation_enthalpy_0k_ev_per_fu": 3.00,
  "space_group": "P4/mmm, No. 123"
}

=====

{
  "formula": "KCd2Ge2",
  "functional": "meta-GGA SCAN",
  "state": "PBEsol geometry",
  "lattice": [[-2.294, 2.294, 5.595], [2.294, -2.294, 5.595], [2.294, 2.294, -5.595]],
  "species": ["K", "Cd", "Cd", "Ge", "Ge"],
  "fractional_positions": [[0.000, 0.000, 0.000], [0.250, 0.750, 0.500], [0.750, 0.250, 0.500], [0.389, 0.389, 0.000], [0.611, 0.611, 0.000]],
  "n_ef_per_ev_atom": 0.227,
  "formation_enthalpy_0k_ev_per_fu": -0.73,
  "space_group": "I4/mmm, No. 139"
}

=====

{
  "formula": "K2CdGeO4",
  "functional": "meta-GGA SCAN",
  "state": "PBEsol geometry",
  "lattice": [[11.509, 0.000, 0.000], [0.000, 5.745, 0.000], [0.000, 0.000, 16.085]],
  "species": ["K", "K", "K", "K", "K", "K", "K", "K", "K", "K", "K", "K", "K", "K", "K", "K", "Cd", "Cd", "Cd", "Cd", "Cd", "Cd", "Cd", "Cd", "Ge", "Ge", "Ge", "Ge", "Ge", "Ge", "Ge", "Ge", "O", "O", "O", "O", "O", "O", "O", "O", "O", "O", "O", "O", "O", "O", "O", "O", "O", "O", "O", "O", "O", "O", "O", "O", "O", "O", "O", "O", "O", "O", "O", "O"],
  "fractional_positions": [[0.008, 0.014, 0.116], [0.016, 0.506, 0.500], [0.225, 0.545, 0.873], [0.236, 0.043, 0.739], [0.264, 0.043, 0.239], [0.275, 0.545, 0.373], [0.484, 0.506, 0.000], [0.492, 0.014, 0.616], [0.508, 0.986, 0.116], [0.516, 0.494, 0.500], [0.725, 0.455, 0.873], [0.736, 0.957, 0.739], [0.764, 0.957, 0.239], [0.775, 0.455, 0.373], [0.984, 0.494, 0.000], [0.992, 0.986, 0.616], [0.015, 0.517, 0.246], [0.240, 0.038, 0.994], [0.260, 0.038, 0.494], [0.485, 0.517, 0.746], [0.515, 0.483, 0.246], [0.740, 0.962, 0.994], [0.760, 0.962, 0.494], [0.985, 0.483, 0.746], [0.010, 0.027, 0.368], [0.234, 0.521, 0.626], [0.266, 0.521, 0.126], [0.490, 0.027, 0.868], [0.510, 0.973, 0.368], [0.734, 0.479, 0.626], [0.766, 0.479, 0.126], [0.990, 0.973, 0.868], [0.010, 0.278, 0.860], [0.033, 0.842, 0.773], [0.078, 0.876, 0.952], [0.107, 0.360, 0.651], [0.155, 0.123, 0.387], [0.176, 0.332, 0.067], [0.185, 0.769, 0.571], [0.193, 0.605, 0.218], [0.307, 0.605, 0.718], [0.315, 0.769, 0.071], [0.324, 0.332, 0.567], [0.345, 0.123, 0.887], [0.393, 0.360, 0.151], [0.422, 0.876, 0.452], [0.467, 0.842, 0.273], [0.490, 0.278, 0.360], [0.510, 0.722, 0.860], [0.533, 0.158, 0.773], [0.578, 0.124, 0.952], [0.607, 0.640, 0.651], [0.655, 0.877, 0.387], [0.676, 0.668, 0.067], [0.685, 0.231, 0.571], [0.693, 0.395, 0.218], [0.807, 0.395, 0.718], [0.815, 0.231, 0.071], [0.824, 0.668, 0.567], [0.845, 0.877, 0.887], [0.893, 0.640, 0.151], [0.922, 0.124, 0.452], [0.967, 0.158, 0.273], [0.990, 0.722, 0.360]],
  "n_ef_per_ev_atom": 0.000,
  "e_form_raw_ev_per_atom": -1.760,
  "space_group": "Pca2_1, No. 29"
}

=====

{
  "formula": "La3CdGe",
  "functional": "meta-GGA SCAN",
  "state": "PBEsol geometry",
  "lattice": [[5.674, 0.000, 0.000], [0.000, 5.674, 0.000], [0.000, 0.000, 5.674]],
  "species": ["La", "La", "La", "Cd", "Ge"],
  "fractional_positions": [[0.000, 0.000, 0.500], [0.000, 0.500, 0.000], [0.500, 0.000, 0.000], [0.500, 0.500, 0.500], [0.000, 0.000, 0.000]],
  "n_ef_per_ev_atom": 1.952,
  "formation_enthalpy_0k_ev_per_fu": -1.14,
  "space_group": "Pm-3m, No. 221",
  "polymorph_energy_mev_per_atom": 0
}